A | # LaPr4Ag | the Alexandria database | PBE | optimized geometry
data_LaPr4Ag
_cell_length_a 3.744
_cell_length_b 3.744
_cell_length_c 14.332
_cell_angle_alpha 90.00
_cell_angle_beta 90.00
_cell_angle_gamma 90.00
_space_group_name_H-M_alt 'P 1'
_space_group_IT_number 1
loop_
_space_group_symop_operation_xyz
'x,y,z'
loop_
_atom_site_label
_atom_site_type_symbol
_atom_site_fract_x
_atom_site_fract_y
_atom_site_fract_z
La1 La 0.000 0.000 0.000
Pr1 Pr 0.000 0.000 0.366
Pr2 Pr 0.000 0.000 0.634
Pr3 Pr 0.500 0.500 0.183
Pr4 Pr 0.500 0.500 0.817
Ag1 Ag 0.500 0.500 0.500
# - M_tot (μB per cell) = 0.00
# - calculated volume (Å³/cell) = 201
# - DOS(E_F) (states/eV/f.u.) = 10.79
# - SG = P4/mmm (123)

B | # LaPr4Ag | the Alexandria database | PBE | optimized geometry
data_LaPr4Ag
_cell_length_a 8.430
_cell_length_b 8.430
_cell_length_c 9.237
_cell_angle_alpha 90.00
_cell_angle_beta 90.00
_cell_angle_gamma 140.86
_space_group_name_H-M_alt 'P 1'
_space_group_IT_number 1
loop_
_space_group_symop_operation_xyz
'x,y,z'
loop_
_atom_site_label
_atom_site_type_symbol
_atom_site_fract_x
_atom_site_fract_y
_atom_site_fract_z
La1 La 0.135 0.865 0.500
La2 La 0.865 0.135 0.000
Pr1 Pr 0.090 0.910 0.109
Pr2 Pr 0.264 0.736 0.826
Pr3 Pr 0.337 0.663 0.185
Pr4 Pr 0.482 0.518 0.868
Pr5 Pr 0.518 0.482 0.368
Pr6 Pr 0.663 0.337 0.685
Pr7 Pr 0.736 0.264 0.326
Pr8 Pr 0.910 0.090 0.609
Ag1 Ag 0.334 0.666 0.520
Ag2 Ag 0.666 0.334 0.020
# - M_tot (μB per cell) = 0.00
# - calculated volume (Å³/cell) = 414
# - DOS(E_F) (states/eV/f.u.) = 8.61
# - SG = Cmc2_1 (36)

The structure with the greatest stability is A.

A | # La2Pr3Ag2 | the Alexandria database | PBE | optimized geometry
data_La2Pr3Ag2
_cell_length_a 15.735
_cell_length_b 15.735
_cell_length_c 3.734
_cell_angle_alpha 90.00
_cell_angle_beta 90.00
_cell_angle_gamma 166.30
_space_group_name_H-M_alt 'P 1'
_space_group_IT_number 1
loop_
_space_group_symop_operation_xyz
'x,y,z'
loop_
_atom_site_label
_atom_site_type_symbol
_atom_site_fract_x
_atom_site_fract_y
_atom_site_fract_z
La1 La 0.206 0.794 0.000
La2 La 0.794 0.206 0.000
Pr1 Pr 0.084 0.916 0.000
Pr2 Pr 0.500 0.500 0.500
Pr3 Pr 0.916 0.084 0.000
Ag1 Ag 0.358 0.642 0.500
Ag2 Ag 0.642 0.358 0.500
# - M_tot (μB per cell) = 0.00
# - calculated volume (Å³/cell) = 219
# - DOS(E_F) (states/eV/f.u.) = 8.39
# - SG = Cmmm (65)

B | # La2Pr3Ag2 | the Alexandria database | PBE | optimized geometry
data_La2Pr3Ag2
_cell_length_a 6.893
_cell_length_b 6.893
_cell_length_c 9.679
_cell_angle_alpha 114.50
_cell_angle_beta 114.50
_cell_angle_gamma 32.97
_space_group_name_H-M_alt 'P 1'
_space_group_IT_number 1
loop_
_space_group_symop_operation_xyz
'x,y,z'
loop_
_atom_site_label
_atom_site_type_symbol
_atom_site_fract_x
_atom_site_fract_y
_atom_site_fract_z
La1 La 0.149 0.149 0.315
La2 La 0.851 0.851 0.685
Pr1 Pr 0.387 0.387 0.053
Pr2 Pr 0.500 0.500 0.500
Pr3 Pr 0.613 0.613 0.947
Ag1 Ag 0.169 0.169 0.728
Ag2 Ag 0.831 0.831 0.272
# - M_tot (μB per cell) = 0.00
# - calculated volume (Å³/cell) = 226
# - DOS(E_F) (states/eV/f.u.) = 9.52
# - SG = C2/m (12)

The structure with the greatest stability is B.

A | # LaPrAgPt | the Alexandria database | PBE | optimized geometry
data_LaPrAgPt
_cell_length_a 4.672
_cell_length_b 6.041
_cell_length_c 6.041
_cell_angle_alpha 38.60
_cell_angle_beta 90.00
_cell_angle_gamma 90.00
_space_group_name_H-M_alt 'P 1'
_space_group_IT_number 1
loop_
_space_group_symop_operation_xyz
'x,y,z'
loop_
_atom_site_label
_atom_site_type_symbol
_atom_site_fract_x
_atom_site_fract_y
_atom_site_fract_z
La1 La 0.000 0.000 0.000
Pr1 Pr 0.500 0.275 0.275
Ag1 Ag 0.000 0.718 0.718
Pt1 Pt 0.500 0.547 0.547
# - M_tot (μB per cell) = 0.00
# - calculated volume (Å³/cell) = 106
# - DOS(E_F) (states/eV/f.u.) = 3.50
# - SG = Amm2 (38)

B | # LaPrAgPt | the Alexandria database | PBE | optimized geometry
data_LaPrAgPt
_cell_length_a 5.254
_cell_length_b 5.254
_cell_length_c 5.254
_cell_angle_alpha 60.00
_cell_angle_beta 60.00
_cell_angle_gamma 60.00
_space_group_name_H-M_alt 'P 1'
_space_group_IT_number 1
loop_
_space_group_symop_operation_xyz
'x,y,z'
loop_
_atom_site_label
_atom_site_type_symbol
_atom_site_fract_x
_atom_site_fract_y
_atom_site_fract_z
La1 La 0.000 0.000 0.000
Pr1 Pr 0.500 0.500 0.500
Ag1 Ag 0.750 0.750 0.750
Pt1 Pt 0.250 0.250 0.250
# - M_tot (μB per cell) = 0.00
# - calculated volume (Å³/cell) = 103
# - DOS(E_F) (states/eV/f.u.) = 3.07
# - SG = F-43m (216)

The structure with the greatest stability is A.

A | # LaPrSmAg | the Alexandria database | PBE | optimized geometry
data_LaPrSmAg
_cell_length_a 3.762
_cell_length_b 3.762
_cell_length_c 8.753
_cell_angle_alpha 90.00
_cell_angle_beta 90.00
_cell_angle_gamma 90.00
_space_group_name_H-M_alt 'P 1'
_space_group_IT_number 1
loop_
_space_group_symop_operation_xyz
'x,y,z'
loop_
_atom_site_label
_atom_site_type_symbol
_atom_site_fract_x
_atom_site_fract_y
_atom_site_fract_z
La1 La 0.000 0.000 0.000
Pr1 Pr 0.500 0.500 0.293
Sm1 Sm 0.500 0.500 0.715
Ag1 Ag 0.000 0.000 0.513
# - M_tot (μB per cell) = 0.00
# - calculated volume (Å³/cell) = 124
# - DOS(E_F) (states/eV/f.u.) = 6.06
# - SG = P4mm (99)

B | # LaPrSmAg | the Alexandria database | PBE | optimized geometry
data_LaPrSmAg
_cell_length_a 5.522
_cell_length_b 5.522
_cell_length_c 5.522
_cell_angle_alpha 60.00
_cell_angle_beta 60.00
_cell_angle_gamma 60.00
_space_group_name_H-M_alt 'P 1'
_space_group_IT_number 1
loop_
_space_group_symop_operation_xyz
'x,y,z'
loop_
_atom_site_label
_atom_site_type_symbol
_atom_site_fract_x
_atom_site_fract_y
_atom_site_fract_z
La1 La 0.000 0.000 0.000
Pr1 Pr 0.250 0.250 0.250
Sm1 Sm 0.500 0.500 0.500
Ag1 Ag 0.750 0.750 0.750
# - M_tot (μB per cell) = 2.25
# - calculated volume (Å³/cell) = 119
# - DOS(E_F) (states/eV/f.u.) = 4.23
# - SG = F-43m (216)

The structure with the greatest stability is A.

A | # LaPrZnAg | the Alexandria database | PBE | optimized geometry
data_LaPrZnAg
_cell_length_a 3.812
_cell_length_b 3.812
_cell_length_c 7.370
_cell_angle_alpha 90.00
_cell_angle_beta 90.00
_cell_angle_gamma 90.00
_space_group_name_H-M_alt 'P 1'
_space_group_IT_number 1
loop_
_space_group_symop_operation_xyz
'x,y,z'
loop_
_atom_site_label
_atom_site_type_symbol
_atom_site_fract_x
_atom_site_fract_y
_atom_site_fract_z
La1 La 0.000 0.000 0.000
Pr1 Pr 0.000 0.000 0.517
Zn1 Zn 0.500 0.500 0.753
Ag1 Ag 0.500 0.500 0.264
# - M_tot (μB per cell) = 0.00
# - calculated volume (Å³/cell) = 107
# - DOS(E_F) (states/eV/f.u.) = 3.82
# - SG = P4mm (99)

B | # LaPrZnAg | the Alexandria database | PBE | optimized geometry
data_LaPrZnAg
_cell_length_a 5.347
_cell_length_b 5.347
_cell_length_c 5.347
_cell_angle_alpha 60.00
_cell_angle_beta 60.00
_cell_angle_gamma 60.00
_space_group_name_H-M_alt 'P 1'
_space_group_IT_number 1
loop_
_space_group_symop_operation_xyz
'x,y,z'
loop_
_atom_site_label
_atom_site_type_symbol
_atom_site_fract_x
_atom_site_fract_y
_atom_site_fract_z
La1 La 0.000 0.000 0.000
Pr1 Pr 0.500 0.500 0.500
Zn1 Zn 0.750 0.750 0.750
Ag1 Ag 0.250 0.250 0.250
# - M_tot (μB per cell) = 0.24
# - calculated volume (Å³/cell) = 108
# - DOS(E_F) (states/eV/f.u.) = 4.26
# - SG = F-43m (216)

The structure with the greatest stability is A.

A | # LaAg3Pt | the Alexandria database | PBE | optimized geometry
data_LaAg3Pt
_cell_length_a 5.440
_cell_length_b 5.440
_cell_length_c 5.440
_cell_angle_alpha 90.00
_cell_angle_beta 90.00
_cell_angle_gamma 90.00
_space_group_name_H-M_alt 'P 1'
_space_group_IT_number 1
loop_
_space_group_symop_operation_xyz
'x,y,z'
loop_
_atom_site_label
_atom_site_type_symbol
_atom_site_fract_x
_atom_site_fract_y
_atom_site_fract_z
La1 La 0.000 0.000 0.000
Ag1 Ag 0.000 0.000 0.500
Ag2 Ag 0.000 0.500 0.000
Ag3 Ag 0.500 0.000 0.000
Pt1 Pt 0.500 0.500 0.500
# - M_tot (μB per cell) = 0.00
# - calculated volume (Å³/cell) = 161
# - DOS(E_F) (states/eV/f.u.) = 3.59
# - SG = Pm-3m (221)

B | # LaAg3Pt | the Alexandria database | PBE | optimized geometry
data_LaAg3Pt
_cell_length_a 5.089
_cell_length_b 5.089
_cell_length_c 5.089
_cell_angle_alpha 90.00
_cell_angle_beta 90.00
_cell_angle_gamma 90.00
_space_group_name_H-M_alt 'P 1'
_space_group_IT_number 1
loop_
_space_group_symop_operation_xyz
'x,y,z'
loop_
_atom_site_label
_atom_site_type_symbol
_atom_site_fract_x
_atom_site_fract_y
_atom_site_fract_z
La1 La 0.000 0.000 0.000
Ag1 Ag 0.000 0.500 0.500
Ag2 Ag 0.500 0.000 0.500
Ag3 Ag 0.500 0.500 0.000
Pt1 Pt 0.500 0.500 0.500
# - M_tot (μB per cell) = 0.00
# - calculated volume (Å³/cell) = 132
# - DOS(E_F) (states/eV/f.u.) = 3.74
# - SG = Pm-3m (221)

The structure with the greatest stability is B.